Record 1
ScAgBi3 PBE optimized geometry; space group = No. 221; DFT formation energy = 0.34 eV/atom; energy above the most stable polymorph in this dataset = 0.0 meV per atom
1.0
-1.017 -4.187 -3.544
4.981 0.804 -2.380
2.297 -3.598 3.592
Sc Bi Ag
1 3 1
Direct
0.000 0.000 0.000
0.000 0.000 0.500
0.500 0.000 0.000
0.000 0.500 0.000
0.500 0.500 0.500

Record 2
ScAgBi2Se PBE optimized geometry; space group = No. 123; raw formation energy = 208.5 meV per atom
1.0
5.671 0.000 0.000
0.000 5.671 0.000
0.000 0.000 4.925
Ag Se Sc Bi
1 1 1 2
Direct
0.500 0.500 0.500
0.000 0.000 0.000
0.000 0.000 0.500
0.500 0.000 0.000
0.000 0.500 0.000

no.,Fermi-level density of states (states/eV/cell)
1,4.34
2,3.81